A geometry-optimized Ca2EuRh structure. Source: the Alexandria database, functional PBE-GGA.

```
Ca2EuRh
1.0
-0.447 2.030 -3.036
1.716 -0.945 -3.114
-8.231 -5.856 -4.932
Eu Ca Rh
1 2 1
Cartesian
0.000 0.000 0.000
-5.363 -3.796 -3.977
-1.599 -0.976 -7.105
-3.481 -2.386 -5.541
```

The energy is -5.41 eV/atom. The energy of formation from the pure elements comes out at 0.001 eV per atom. The value obtained for the energy above the most stable polymorph in this dataset is 196.8 meV/atom. The density of states at the Fermi level is 3.61 states/eV/cell. Its crystal system is trigonal.